1.
## Sm2YTmS6 (PBE-GGA)

Data for Sm2YTmS6 after structural relaxation.

- symmetry = R3
- E_form (uncorrected) (eV per atom) = -2.046

a b c (Å): 7.380 7.380 7.380
angles (deg): 56.46 56.46 56.46
Atoms (fractional coordinates):
Sm: 0.000 0.000 0.000
Sm: 0.499 0.499 0.499
Y: 0.204 0.204 0.204
Tm: 0.702 0.702 0.702
S: 0.087 0.415 0.813
S: 0.316 0.909 0.592
S: 0.415 0.813 0.087
S: 0.592 0.316 0.909
S: 0.813 0.087 0.415
S: 0.909 0.592 0.316

---

2.
## SmYTm4S8 (PBE-GGA)

Data for SmYTm4S8 after structural relaxation.

- symmetry = R3m
- E_form (uncorrected) (eV per atom) = -1.920

a b c (Å): 8.017 8.017 8.017
angles (deg): 59.77 59.77 59.77
Atoms (fractional coordinates):
Sm: 0.000 0.000 0.000
Y: 0.625 0.625 0.625
Tm: 0.128 0.625 0.625
Tm: 0.251 0.251 0.251
Tm: 0.625 0.128 0.625
Tm: 0.625 0.625 0.128
S: 0.380 0.380 0.856
S: 0.380 0.856 0.380
S: 0.384 0.384 0.384
S: 0.407 0.868 0.868
S: 0.856 0.380 0.380
S: 0.864 0.864 0.864
S: 0.868 0.407 0.868
S: 0.868 0.868 0.407

---

3.
## SmY4TmS8 (PBE-GGA)

Data for SmY4TmS8 after structural relaxation.

- symmetry = R3m
- E_form (uncorrected) (eV per atom) = -1.935

a b c (Å): 8.082 8.082 8.082
angles (deg): 59.86 59.86 59.86
Atoms (fractional coordinates):
Sm: 0.000 0.000 0.000
Y: 0.000 0.000 0.499
Y: 0.000 0.499 0.000
Y: 0.499 0.000 0.000
Y: 0.625 0.625 0.625
Tm: 0.374 0.374 0.374
S: 0.229 0.754 0.754
S: 0.243 0.243 0.243
S: 0.248 0.248 0.765
S: 0.248 0.765 0.248
S: 0.754 0.229 0.754
S: 0.754 0.754 0.229
S: 0.758 0.758 0.758
S: 0.765 0.248 0.248

---

4.
## Sm2YTmS5 (PBE-GGA)

Data for Sm2YTmS5 after structural relaxation.

- symmetry = P4/mmm
- E_form (uncorrected) (eV per atom) = -1.445

a b c (Å): 4.823 4.823 10.194
angles (deg): 90.00 90.00 90.00
Atoms (fractional coordinates):
Sm: 0.000 0.000 0.196
Sm: 0.000 0.000 0.804
Y: 0.500 0.500 0.500
Tm: 0.500 0.500 0.000
S: 0.000 0.000 0.500
S: 0.000 0.500 0.000
S: 0.500 0.000 0.000
S: 0.500 0.500 0.253
S: 0.500 0.500 0.747

---

5.
## Sm4Y3TmS8 (PBE-GGA)

Data for Sm4Y3TmS8 after structural relaxation.

- symmetry = R-3m
- E_form (uncorrected) (eV per atom) = -2.001

a b c (Å): 7.946 7.946 7.946
angles (deg): 59.43 59.43 59.43
Atoms (fractional coordinates):
Sm: 0.000 0.000 0.000
Sm: 0.000 0.500 0.500
Sm: 0.500 0.000 0.500
Sm: 0.500 0.500 0.000
Y: 0.000 0.000 0.500
Y: 0.000 0.500 0.000
Y: 0.500 0.000 0.000
Tm: 0.500 0.500 0.500
S: 0.247 0.247 0.247
S: 0.250 0.744 0.744
S: 0.256 0.256 0.750
S: 0.256 0.750 0.256
S: 0.744 0.250 0.744
S: 0.744 0.744 0.250
S: 0.750 0.256 0.256
S: 0.753 0.753 0.753

---

6.
## Sm4YTm3S8 (PBE-GGA)

Data for Sm4YTm3S8 after structural relaxation.

- symmetry = R-3m
- E_form (uncorrected) (eV per atom) = -1.987

a b c (Å): 7.932 7.932 7.932
angles (deg): 59.03 59.03 59.03
Atoms (fractional coordinates):
Sm: 0.000 0.000 0.000
Sm: 0.000 0.500 0.500
Sm: 0.500 0.000 0.500
Sm: 0.500 0.500 0.000
Y: 0.500 0.500 0.500
Tm: 0.000 0.000 0.500
Tm: 0.000 0.500 0.000
Tm: 0.500 0.000 0.000
S: 0.242 0.747 0.747
S: 0.244 0.244 0.244
S: 0.253 0.253 0.758
S: 0.253 0.758 0.253
S: 0.747 0.242 0.747
S: 0.747 0.747 0.242
S: 0.756 0.756 0.756
S: 0.758 0.253 0.253

---

7.
## Sm3Y2TmS6 (PBE-GGA)

Data for Sm3Y2TmS6 after structural relaxation.

- symmetry = C2/m
- E_form (uncorrected) (eV per atom) = -2.005

a b c (Å): 6.827 6.827 6.879
angles (deg): 99.49 99.49 120.18
Atoms (fractional coordinates):
Sm: 0.000 0.000 0.000
Sm: 0.331 0.669 0.000
Sm: 0.669 0.331 0.000
Y: 0.167 0.833 0.500
Y: 0.833 0.167 0.500
Tm: 0.500 0.500 0.500
S: 0.092 0.421 0.262
S: 0.251 0.251 0.740
S: 0.421 0.092 0.262
S: 0.579 0.908 0.738
S: 0.749 0.749 0.260
S: 0.908 0.579 0.738

---

8.
## SmY2TmS6 (PBE-GGA)

Data for SmY2TmS6 after structural relaxation.

- symmetry = R3
- E_form (uncorrected) (eV per atom) = -2.053

a b c (Å): 7.366 7.366 7.366
angles (deg): 56.17 56.17 56.17
Atoms (fractional coordinates):
Sm: 0.000 0.000 0.000
Y: 0.295 0.295 0.295
Y: 0.798 0.798 0.798
Tm: 0.496 0.496 0.496
S: 0.097 0.688 0.406
S: 0.203 0.593 0.891
S: 0.406 0.097 0.688
S: 0.593 0.891 0.203
S: 0.688 0.406 0.097
S: 0.891 0.203 0.593

---

9.
## Sm2TmZnS5 (PBE-GGA)

Data for Sm2TmZnS5 after structural relaxation.

- symmetry = Cmc2_1
- E_form (uncorrected) (eV per atom) = -1.736

a b c (Å): 8.610 8.610 11.870
angles (deg): 90.00 90.00 154.32
Atoms (fractional coordinates):
Sm: 0.115 0.885 0.500
Sm: 0.133 0.867 0.134
Sm: 0.867 0.133 0.634
Sm: 0.885 0.115 0.000
Tm: 0.198 0.802 0.832
Tm: 0.802 0.198 0.332
Zn: 0.454 0.546 0.265
Zn: 0.546 0.454 0.765
S: 0.041 0.959 0.872
S: 0.290 0.710 0.491
S: 0.316 0.684 0.172
S: 0.356 0.644 0.820
S: 0.493 0.507 0.589
S: 0.507 0.493 0.089
S: 0.644 0.356 0.320
S: 0.684 0.316 0.672
S: 0.710 0.290 0.991
S: 0.959 0.041 0.372

---

10.
## SmUS4 (PBE-GGA)

Data for SmUS4 after structural relaxation.

- symmetry = C2/m
- E above lowest polymorph (eV/atom) = 0.000
- E_form (uncorrected) (eV per atom) = -1.531

a b c (Å): 4.590 4.590 6.569
angles (deg): 90.15 90.15 90.00
Atoms (fractional coordinates):
Sm: 0.000 0.000 0.000
U: 0.500 0.500 0.500
S: 0.000 0.499 0.737
S: 0.000 0.501 0.263
S: 0.499 0.000 0.737
S: 0.501 0.000 0.263

---

11.
## Sm2U3S8 (PBE-GGA)

Data for Sm2U3S8 after structural relaxation.

- symmetry = C2/m
- E_form (uncorrected) (eV per atom) = -1.583

a b c (Å): 8.095 8.095 6.631
angles (deg): 106.79 106.79 58.60
Atoms (fractional coordinates):
Sm: 0.237 0.237 0.162
Sm: 0.763 0.763 0.838
U: 0.242 0.758 0.500
U: 0.500 0.500 0.000
U: 0.758 0.242 0.500
S: 0.114 0.114 0.415
S: 0.143 0.609 0.086
S: 0.384 0.384 0.577
S: 0.391 0.857 0.914
S: 0.609 0.143 0.086
S: 0.616 0.616 0.423
S: 0.857 0.391 0.914
S: 0.886 0.886 0.585

---

12.
## SmU2S5 (PBE-GGA)

Data for SmU2S5 after structural relaxation.

- symmetry = Pnma
- E_form (uncorrected) (eV per atom) = -1.576

a b c (Å): 11.898 7.884 7.400
angles (deg): 90.00 90.00 90.00
Atoms (fractional coordinates):
Sm: 0.006 0.250 0.082
Sm: 0.494 0.750 0.582
Sm: 0.506 0.250 0.418
Sm: 0.994 0.750 0.918
U: 0.181 0.000 0.510
U: 0.181 0.500 0.510
U: 0.319 0.000 0.010
U: 0.319 0.500 0.010
U: 0.681 0.000 0.990
U: 0.681 0.500 0.990
U: 0.819 0.000 0.490
U: 0.819 0.500 0.490
S: 0.001 0.250 0.470
S: 0.109 0.545 0.162
S: 0.109 0.955 0.162
S: 0.186 0.250 0.821
S: 0.217 0.750 0.791
S: 0.283 0.250 0.291
S: 0.314 0.750 0.321
S: 0.391 0.045 0.662
S: 0.391 0.455 0.662
S: 0.499 0.750 0.970
S: 0.501 0.250 0.030
S: 0.609 0.545 0.338
S: 0.609 0.955 0.338
S: 0.686 0.250 0.679
S: 0.717 0.750 0.709
S: 0.783 0.250 0.209
S: 0.814 0.750 0.179
S: 0.891 0.045 0.838
S: 0.891 0.455 0.838
S: 0.999 0.750 0.530